Record 1
A relaxed structure of PrGa2, computed with GGA-PBEsol.

Formation energy from the elements (eV per atom): -0.74
E (eV/atom): -4.691
Density of states at the Fermi level (states/eV per cell): 1.43

Lattice parameters (Å, degrees): 4.2395 4.2395 4.2537 90.00 90.00 120.00
Last column: nearest neighbours and their distance in Å.
Space group P6/mmm (No. 191)
One atom of each set of equivalent atoms:
Pr 0.0000 0.0000 0.0000  12 Ga 3.24
Ga 0.3333 0.6667 0.5000  3 Ga 2.45

Record 2
A relaxed structure of MgSn3P4O14, computed with GGA-PBEsol.

Energy relative to the elements, uncorrected (eV per atom): -2.005
E (eV/atom): -7.057
Density of states at the Fermi level (states/eV per cell): 0.00

Lattice parameters (Å, degrees): 8.2676 7.3775 9.9714 90.00 104.05 90.00
Last column: nearest neighbours and their distance in Å.
Space group P2_1/c (No. 14)
One atom of each set of equivalent atoms:
Mg 0.0000 0.0000 0.0000  2 O 2.00
Sn 0.3001 0.1460 0.4698  3 O 2.10-2.33
Sn 0.5000 0.0000 0.0000  4 O 2.42-2.53
P 0.0542 0.0712 0.6925  4 O 1.52-1.60
P 0.3092 0.7104 0.1719  4 O 1.51-1.61
O 0.0981 0.0940 0.8492  1 P 1.52
O 0.1284 0.2198 0.6157  1 P 1.55
O 0.1296 0.6189 0.1614  2 P 1.60-1.61
O 0.1326 0.5504 0.8661  1 P 1.52
O 0.2595 0.6106 0.5938  1 P 1.54
O 0.4024 0.5785 0.0950  1 P 1.55
O 0.4064 0.7247 0.3208  1 P 1.51

Record 3
A relaxed structure of Al2SiSe, computed with GGA-PBEsol.

Energy relative to the elements, uncorrected (eV per atom): -0.058
E (eV/atom): -4.503
Density of states at the Fermi level (states/eV per cell): 1.18

Lattice parameters (Å, degrees): 2.8149 3.5636 6.9131 90.00 90.00 90.00
Last column: nearest neighbours and their distance in Å.
Space group Pmmm (No. 47)
One atom of each set of equivalent atoms:
Al 0.0000 0.0000 0.2106  2 Se 2.68, 4 Si 2.70, 3 Al 2.81-2.91
Si 0.5000 0.5000 0.0000  8 Al 2.70, 2 Si 2.81
Se 0.0000 0.5000 0.5000  4 Al 2.68, 2 Se 2.81